The following is a DFT calculation (PBE-GGA) of ScAu2Se after structural relaxation.

Calculated values
Energy relative to the elements, uncorrected: -2.78 eV/f.u.
Calculated volume: 85 Å³ per cell
D(E_F): 1.45 states/eV/f.u.
Energy: -4.79 eV/atom
Symmetry: C2/m (12)
Magnetization: 0.00 μB/cell

Unit cell a=6.3363 b=6.3363 c=3.8556 alpha=107.98 beta=107.98 gamma=35.43
Fractional positions:
Au 0.9999 0.9999 0.9999
Au 0.5001 0.5001 0.5001
Sc 0.2500 0.2500 0.2500
Se 0.7500 0.7500 0.7500

***

The following is a DFT calculation (PBE-GGA) of CuSi2Te after structural relaxation.

Calculated values
Energy relative to the elements, uncorrected: 1.10 eV/f.u.
Calculated volume: 75 Å³ per cell
D(E_F): 1.94 states/eV/f.u.
Energy: -4.25 eV/atom
Symmetry: R-3m (166)
Magnetization: 0.00 μB/cell

Unit cell a=6.2275 b=6.2275 c=6.2275 alpha=35.97 beta=35.97 gamma=35.97
Fractional positions:
Cu 0.7500 0.7500 0.7500
Si 0.0262 0.0262 0.0262
Si 0.4738 0.4738 0.4738
Te 0.2500 0.2500 0.2500

***

The following is a DFT calculation (PBE-GGA) of Tl3Sn2Se4 after structural relaxation.

Calculated values
Energy above the most stable polymorph in this dataset: 0 meV/atom
Energy relative to the elements, uncorrected: -3.23 eV/f.u.
Calculated volume: 589 Å³ per cell
D(E_F): 2.58 states/eV/f.u.
Energy: -3.59 eV/atom
Symmetry: Pnnm (58)
Magnetization: 0.00 μB/cell

Unit cell a=5.2419 b=6.7643 c=16.6106 alpha=90.00 beta=90.00 gamma=90.00
Fractional positions:
Sn 0.0000 0.1503 0.5960
Sn 0.5000 0.3497 0.0960
Sn 0.0000 0.8497 0.4040
Sn 0.5000 0.6503 0.9040
Se 0.5000 0.7466 0.0664
Se 0.0000 0.2896 0.1588
Se 0.0000 0.2466 0.4336
Se 0.5000 0.2104 0.6588
Se 0.0000 0.7104 0.8412
Se 0.5000 0.2534 0.9336
Se 0.5000 0.7896 0.3412
Se 0.0000 0.7534 0.5664
Tl 0.0000 0.0000 0.0000
Tl 0.5000 0.2559 0.3042
Tl 0.0000 0.2441 0.8042
Tl 0.5000 0.7441 0.6958
Tl 0.5000 0.5000 0.5000
Tl 0.0000 0.7559 0.1958